Here is Hf2TaPbO8 after structural relaxation from Alexandria via LeMat-Bulk. Energies are from PBE.

## Properties
Raw formation energy: -2.743 eV per atom
DFT total energy: -108.050 eV per cell

```
Hf2TaPbO8
1.0
3.470 -3.479 0.000
3.470 3.479 0.000
0.000 0.000 6.650
Hf Ta Pb O
2 1 1 8
Direct
0.000 0.000 0.245
0.000 0.000 0.755
0.500 0.500 0.000
0.500 0.500 0.500
0.175 0.825 0.500
0.203 0.797 0.000
0.299 0.299 0.214
0.299 0.299 0.786
0.701 0.701 0.214
0.701 0.701 0.786
0.797 0.203 0.000
0.825 0.175 0.500
```